No. 1
This record from OQMD via LeMat-Bulk describes a relaxed structure of TaTlCuSeS2. The functional is PBE-GGA.

- magnetic moment (Bohr magnetons per cell) = 0.1

Cell: 7.837 7.837 9.749 Å, 90.00 90.00 154.15°
Element x y z (fractional)
Ta 0.000 0.000 0.000
Ta 0.000 0.000 0.500
Tl 0.246 0.754 0.750
Tl 0.754 0.246 0.250
Cu 0.459 0.541 0.250
Cu 0.541 0.459 0.750
Se 0.072 0.928 0.250
Se 0.928 0.072 0.750
S 0.387 0.613 0.048
S 0.387 0.613 0.452
S 0.613 0.387 0.548
S 0.613 0.387 0.952

---

No. 2
This record from OQMD via LeMat-Bulk describes a relaxed structure of KRb3CdCl6. The functional is PBE-GGA.

Cell: 8.823 8.823 8.823 Å, 90.57 90.57 90.57°
Element x y z (fractional)
K 0.000 0.000 0.000
K 0.500 0.500 0.500
Rb 0.002 0.376 0.624
Rb 0.124 0.876 0.502
Rb 0.376 0.624 0.002
Rb 0.502 0.124 0.876
Rb 0.624 0.002 0.376
Rb 0.876 0.502 0.124
Cd 0.250 0.250 0.250
Cd 0.750 0.750 0.750
Cl 0.039 0.697 0.826
Cl 0.174 0.303 0.962
Cl 0.197 0.539 0.326
Cl 0.303 0.962 0.174
Cl 0.326 0.197 0.539
Cl 0.462 0.803 0.674
Cl 0.539 0.326 0.197
Cl 0.674 0.462 0.803
Cl 0.697 0.826 0.039
Cl 0.803 0.674 0.462
Cl 0.826 0.039 0.697
Cl 0.962 0.174 0.303

---

No. 3
This record from OQMD via LeMat-Bulk describes a relaxed structure of TmSnAuSe3. The functional is PBE-GGA.

- magnetic moment (Bohr magnetons per cell) = 0.0
- energy above the lowest structure with this stoichiometry (eV/atom) = 0.0848

Cell: 9.292 9.292 8.452 Å, 101.51 101.51 24.85°
Element x y z (fractional)
Tm 0.164 0.164 0.093
Tm 0.836 0.836 0.907
Sn 0.129 0.129 0.580
Sn 0.871 0.871 0.420
Au 0.453 0.453 0.782
Au 0.547 0.547 0.218
Se 0.000 0.000 0.000
Se 0.309 0.309 0.660
Se 0.326 0.326 0.141
Se 0.500 0.500 0.500
Se 0.674 0.674 0.859
Se 0.691 0.691 0.340

---

No. 4
This record from OQMD via LeMat-Bulk describes a relaxed structure of CoNiAgAs. The functional is PBE-GGA.

- magnetic moment (Bohr magnetons per cell) = 1.6
- energy above the lowest structure with this stoichiometry (eV/atom) = 0.1236

Cell: 4.281 4.281 4.281 Å, 60.00 60.00 60.00°
Element x y z (fractional)
Co 0.000 0.000 0.000
Ni 0.250 0.250 0.250
Ag 0.500 0.500 0.500
As 0.750 0.750 0.750

---

No. 5
This record from OQMD via LeMat-Bulk describes a relaxed structure of TbMgTl. The functional is PBE-GGA.

- magnetic moment (Bohr magnetons per cell) = 0.0

Cell: 7.549 7.549 4.673 Å, 90.00 90.00 120.00°
Element x y z (fractional)
Tb 0.000 0.569 0.000
Tb 0.431 0.431 0.000
Tb 0.569 0.000 0.000
Mg 0.000 0.243 0.500
Mg 0.243 0.000 0.500
Mg 0.757 0.757 0.500
Tl 0.000 0.000 0.000
Tl 0.333 0.667 0.500
Tl 0.667 0.333 0.500

---

No. 6
This record from OQMD via LeMat-Bulk describes a relaxed structure of ZrBeRe. The functional is PBE-GGA.

- magnetic moment (Bohr magnetons per cell) = 0.1
- energy above the lowest structure with this stoichiometry (eV/atom) = 0.0000

Cell: 4.288 4.288 4.288 Å, 60.00 60.00 60.00°
Element x y z (fractional)
Zr 0.000 0.000 0.000
Be 0.500 0.500 0.500
Re 0.750 0.750 0.750

---

Number 1: total DFT energy (no corrections) -0.4059 Ry/atom. Number 2: total DFT energy (no corrections) -0.2349 Ry/atom. Number 3: total DFT energy (no corrections) -0.3334 Ry/atom. Number 4: total DFT energy (no corrections) -0.3481 Ry/atom. Number 5: total DFT energy (no corrections) -0.2339 Ry/atom. Number 6: total DFT energy (no corrections) -0.5473 Ry/atom.